The following is a DFT calculation (GGA-PBE) of a relaxed structure of KInGe3.

Geometry as extended XYZ:
```
5
Lattice="-1.211 2.688 -4.568 -0.531 -4.724 -2.638 -5.273 -0.141 1.314" Properties=species:S:1:pos:R:3 pbc="T T T"
Ge -0.605 1.344 -2.284
Ge -0.265 -2.362 -1.319
Ge -2.637 -0.071 0.657
K -3.507 -1.089 -2.946
In 0.000 0.000 0.000
```

VASP energy   -3.01 eV per atom
Symmetry   Pm-3m, No. 221
Energy above the most stable polymorph in this dataset   0 meV/atom
Formation energy   0.525 eV per atom
Magnetization   0.00 μB per cell